Record 1
VASP calculation (GGA-PBE) on a geometry-optimized Pm2Al4AgAu3 structure.

abc: 4.3870 4.3870 10.6037
angles: 90.00 90.00 90.00
With the nearest neighbours (Å) after each atom.
Atoms (fractional coordinates):
1 Ag 0.5000 0.5000 0.5000  4 Al 2.61
2 Al 0.5000 0.0000 0.6338  3 Au 2.50-2.61, 2 Ag 2.61
3 Al 0.5000 0.5000 0.0000  4 Au 2.59
4 Al 0.0000 0.0000 0.0000  4 Au 2.59
5 Al 0.0000 0.5000 0.3662  3 Au 2.50-2.61, 2 Ag 2.61
6 Au 0.0000 0.5000 0.1306  5 Al 2.50-2.59
7 Au 0.5000 0.0000 0.8694  5 Al 2.50-2.59
8 Au 0.0000 0.0000 0.5000  4 Al 2.61
9 Pm 0.0000 0.5000 0.7500  8 Al 3.34-3.44, 6 Au 3.35-3.44, 2 Ag 3.44
10 Pm 0.5000 0.0000 0.2500  8 Al 3.34-3.44, 6 Au 3.35-3.44, 2 Ag 3.44

* calculated volume: 204 Å³ per cell
* total moment: 0.00 Bohr magnetons per cell
* crystal system: tetragonal
* ΔH_f (0 K): -0.666 eV/atom

Record 2
VASP calculation (GGA-PBE) on a geometry-optimized Ga2FeTc2 structure.

abc: 6.5697 6.5697 3.3709
angles: 90.00 90.00 90.00
With the nearest neighbours (Å) after each atom.
Atoms (fractional coordinates):
1 Fe 0.5000 0.5000 0.0000  4 Ga 2.55
2 Fe 0.0000 0.0000 0.0000  4 Ga 2.55
3 Tc 0.6653 0.8347 0.5000  6 Ga 2.50-2.61
4 Tc 0.1653 0.6653 0.5000  6 Ga 2.50-2.61
5 Tc 0.8347 0.3347 0.5000  6 Ga 2.50-2.61
6 Tc 0.3347 0.1653 0.5000  6 Ga 2.50-2.61
7 Ga 0.3635 0.8635 0.0000  6 Tc 2.50-2.61, 1 Ga 2.54, 2 Fe 2.55
8 Ga 0.8635 0.6365 0.0000  6 Tc 2.50-2.61, 1 Ga 2.54, 2 Fe 2.55
9 Ga 0.6365 0.1365 0.0000  6 Tc 2.50-2.61, 1 Ga 2.54, 2 Fe 2.55
10 Ga 0.1365 0.3635 0.0000  6 Tc 2.50-2.61, 1 Ga 2.54, 2 Fe 2.55

* ΔE to the lowest computed polymorph: 0 meV/atom
* calculated volume: 145 Å³ per cell
* total moment: 8.11 Bohr magnetons per cell
* crystal system: tetragonal
* ΔH_f (0 K): 0.100 eV/atom

Record 3
VASP calculation (GGA-PBE) on a geometry-optimized IrPt2S2 structure.

abc: 6.5545 6.5545 3.6575
angles: 90.00 90.00 90.00
With the nearest neighbours (Å) after each atom.
Atoms (fractional coordinates):
1 Pt 0.3472 0.1528 0.5000  2 S 2.43
2 Pt 0.1528 0.6528 0.5000  2 S 2.43
3 Pt 0.8472 0.3472 0.5000  2 S 2.43
4 Pt 0.6528 0.8472 0.5000  2 S 2.43
5 Ir 0.5000 0.5000 0.0000  4 S 2.42
6 Ir 0.0000 0.0000 0.0000  4 S 2.42
7 S 0.3253 0.8253 0.0000  2 Ir 2.42, 2 Pt 2.43
8 S 0.1747 0.3253 0.0000  2 Ir 2.42, 2 Pt 2.43
9 S 0.6747 0.1747 0.0000  2 Ir 2.42, 2 Pt 2.43
10 S 0.8253 0.6747 0.0000  2 Ir 2.42, 2 Pt 2.43

* uncorrected formation energy: 459.0 meV per atom
* ΔE to the lowest computed polymorph: 0 meV/atom
* calculated volume: 157 Å³ per cell
* total moment: 0.00 Bohr magnetons per cell
* crystal system: tetragonal